[1]
Sr2LiAlCu (PBE, optimized geometry); spin magnetization = 0.00 μB/cell; formation energy from the elements = 0.005 eV/atom; D(E_F) = 0.83 states/eV per atom
1.0
5.923 0.000 0.000
0.000 5.923 0.000
0.000 0.000 4.675
Sr Li Al Cu
2 1 1 1
Direct
0.000 0.500 0.000
0.500 0.000 0.000
0.000 0.000 0.500
0.500 0.500 0.500
0.500 0.500 0.000

[2]
TlSnCSe2 (PBE, optimized geometry); spin magnetization = 0.00 μB/cell; ΔE_f (raw) = 75.37 kJ per mole of atoms; D(E_F) = 0.38 states/eV per atom
1.0
5.118 0.000 0.000
0.000 5.118 0.000
0.000 0.000 4.380
Tl Sn C Se
1 1 1 2
Direct
0.000 0.000 0.000
0.500 0.500 0.000
0.500 0.500 0.500
0.000 0.500 0.500
0.500 0.000 0.500

[3]
Zr2TcP (PBE, optimized geometry); spin magnetization = 0.00 μB/cell; formation energy from the elements = -0.432 eV/atom; D(E_F) = 0.48 states/eV per atom
1.0
3.147 0.000 0.000
0.000 3.147 0.000
0.000 0.000 7.266
Zr Tc P
2 1 1
Direct
0.000 0.000 0.000
0.500 0.500 0.320
0.500 0.500 0.735
0.000 0.000 0.586

[4]
VGeSCl2 (PBE, optimized geometry); spin magnetization = 4.16 μB/cell; ΔE_f (raw) = 73.59 kJ per mole of atoms; ΔE to the lowest computed polymorph = 1075 meV per atom; D(E_F) = 0.89 states/eV per atom
1.0
4.798 0.000 0.000
0.000 4.798 0.000
0.000 0.000 5.205
V Ge S Cl
1 1 1 2
Direct
0.000 0.000 0.000
0.500 0.500 0.000
0.500 0.500 0.500
0.000 0.500 0.500
0.500 0.000 0.500

[5]
LuTaCuRu (PBE, optimized geometry); spin magnetization = 0.00 μB/cell; formation energy from the elements = -0.163 eV/atom; D(E_F) = 0.84 states/eV per atom
1.0
0.000 3.248 3.248
3.248 0.000 3.248
3.248 3.248 0.000
Lu Ta Cu Ru
1 1 1 1
Direct
0.000 0.000 0.000
0.500 0.500 0.500
0.250 0.250 0.250
0.750 0.750 0.750

[6]
NaIn3I (PBE, optimized geometry); spin magnetization = 0.00 μB/cell; ΔE_f (raw) = 28.43 kJ per mole of atoms; ΔE to the lowest computed polymorph = 50 meV per atom; D(E_F) = 0.52 states/eV per atom
1.0
6.328 0.000 0.000
0.000 6.328 0.000
0.000 0.000 6.328
Na In I
1 3 1
Direct
0.000 0.000 0.000
0.000 0.500 0.500
0.500 0.000 0.500
0.500 0.500 0.000
0.500 0.500 0.500